# SnAsC2, optimized geometry, DFT GGA-PBEsol
# Polymorph energy (0 for the lowest one) (kJ per mole of atoms): 96.4
# Electronic total energy (eV per cell): -20.2
# Total magnetization (μB per cell): 0.001
data_SnAsC2
_chemical_formula_sum 'Sn1 As1 C2'
_cell_length_a 4.171
_cell_length_b 4.171
_cell_length_c 4.171
_cell_angle_alpha 60.00
_cell_angle_beta 60.00
_cell_angle_gamma 60.00
_space_group_name_H-M_alt 'P 1'
_space_group_IT_number 1
loop_
_space_group_symop_operation_xyz
'x,y,z'
loop_
_atom_site_label
_atom_site_type_symbol
_atom_site_fract_x
_atom_site_fract_y
_atom_site_fract_z
C1 C 0.250 0.250 0.250
C2 C 0.750 0.750 0.750
As1 As 0.000 0.000 0.000
Sn1 Sn 0.500 0.500 0.500

# SnAsC2, optimized geometry, DFT GGA-PBEsol
# Polymorph energy (0 for the lowest one) (kJ per mole of atoms): 0.0
# Electronic total energy (eV per cell): -48.3
# Total magnetization (μB per cell): 0.000
data_SnAsC2
_chemical_formula_sum 'Sn2 As2 C4'
_cell_length_a 4.878
_cell_length_b 4.878
_cell_length_c 5.982
_cell_angle_alpha 114.06
_cell_angle_beta 114.06
_cell_angle_gamma 90.00
_space_group_name_H-M_alt 'P 1'
_space_group_IT_number 1
loop_
_space_group_symop_operation_xyz
'x,y,z'
loop_
_atom_site_label
_atom_site_type_symbol
_atom_site_fract_x
_atom_site_fract_y
_atom_site_fract_z
C1 C 0.407 0.875 0.250
C2 C 0.843 0.375 0.250
C3 C 0.125 0.157 0.750
C4 C 0.625 0.593 0.750
As1 As 0.750 0.250 0.500
As2 As 0.500 0.500 0.000
Sn1 Sn 0.250 0.750 0.500
Sn2 Sn 0.000 0.000 0.000

# SrYAsC2, optimized geometry, DFT GGA-PBEsol
# Electronic total energy (eV per cell): -23.9
# Total magnetization (μB per cell): 0.001
data_SrYAsC2
_chemical_formula_sum 'Sr1 Y1 As1 C2'
_cell_length_a 4.439
_cell_length_b 4.439
_cell_length_c 5.353
_cell_angle_alpha 90.00
_cell_angle_beta 90.00
_cell_angle_gamma 90.00
_space_group_name_H-M_alt 'P 1'
_space_group_IT_number 1
loop_
_space_group_symop_operation_xyz
'x,y,z'
loop_
_atom_site_label
_atom_site_type_symbol
_atom_site_fract_x
_atom_site_fract_y
_atom_site_fract_z
Y1 Y 0.500 0.500 0.500
Sr1 Sr 0.000 0.000 0.000
As1 As 0.000 0.000 0.500
C1 C 0.000 0.500 0.000
C2 C 0.500 0.000 0.000

# V5As3C, optimized geometry, DFT GGA-PBEsol
# Electronic total energy (eV per cell): -155.7
# Total magnetization (μB per cell): 0.003
data_V5As3C
_chemical_formula_sum 'V10 As6 C2'
_cell_length_a 5.168
_cell_length_b 7.068
_cell_length_c 7.068
_cell_angle_alpha 120.00
_cell_angle_beta 90.00
_cell_angle_gamma 90.00
_space_group_name_H-M_alt 'P 1'
_space_group_IT_number 1
loop_
_space_group_symop_operation_xyz
'x,y,z'
loop_
_atom_site_label
_atom_site_type_symbol
_atom_site_fract_x
_atom_site_fract_y
_atom_site_fract_z
V1 V 0.000 0.667 0.333
V2 V 0.000 0.333 0.667
V3 V 0.500 0.333 0.667
V4 V 0.500 0.667 0.333
V5 V 0.250 0.224 0.224
V6 V 0.250 0.000 0.776
V7 V 0.250 0.776 0.000
V8 V 0.750 0.776 0.776
V9 V 0.750 0.000 0.224
V10 V 0.750 0.224 0.000
As1 As 0.250 0.598 0.598
As2 As 0.250 0.000 0.402
As3 As 0.250 0.402 0.000
As4 As 0.750 0.402 0.402
As5 As 0.750 0.000 0.598
As6 As 0.750 0.598 0.000
C1 C 0.000 0.000 0.000
C2 C 0.500 0.000 0.000